# Sb2TeC

Sb2TeC after structural relaxation (PBE, Alexandria via LeMat-Bulk).

Computed properties:
* crystal system: tetragonal
* total magnetization: 0.000 μB per formula unit
* DOS(E_F): 3.38 states/eV per cell
* formation energy (no corrections): 0.82 eV/atom
* energy above the lowest structure with this stoichiometry: 0.000 eV/atom

```
Sb2TeC
1.0
-3.4743 3.4743 4.0847
3.4743 -3.4743 4.0847
3.4743 3.4743 -4.0847
Sb Te C
4 2 2
Direct
0.0285 0.1250 0.4035
0.3750 0.9715 0.0965
0.7215 0.6250 0.5965
0.8750 0.2785 0.9035
0.2500 0.7500 0.5000
0.5000 0.5000 0.0000
0.0000 0.0000 0.0000
0.7500 0.2500 0.5000
```